Record 1
Here is PrGdMgPa after structural relaxation from Alexandria via LeMat-Bulk. Energies are from PBE.

- total moment (μB/f.u.) = 8.19
- SG = No. 216
- E_form (eV/atom) = 0.337
- V (Å³/cell) = 115
- crystal system = cubic

Cell lengths 5.4651, 5.4651, 5.4651 Å; angles 60.00, 60.00, 60.00 degrees
Closest atoms and distances in Å follow each position.
Fractional coordinates of all 4 atoms:
Gd1 0.0000 0.0000 0.0000  4 Pa 3.35, 4 Mg 3.35
Pr1 0.5000 0.5000 0.5000  4 Pa 3.35, 4 Mg 3.35
Mg1 0.2500 0.2500 0.2500  4 Gd 3.35, 4 Pr 3.35
Pa1 0.7500 0.7500 0.7500  4 Pr 3.35, 4 Gd 3.35

Record 2
Here is GdMgScPa after structural relaxation from Alexandria via LeMat-Bulk. Energies are from PBE.

- total moment (μB/f.u.) = 9.58
- SG = No. 216
- E_form (eV/atom) = 0.325
- V (Å³/cell) = 105
- crystal system = cubic

Cell lengths 5.2933, 5.2933, 5.2933 Å; angles 60.00, 60.00, 60.00 degrees
Closest atoms and distances in Å follow each position.
Fractional coordinates of all 4 atoms:
Gd1 0.5000 0.5000 0.5000  4 Pa 3.24, 4 Mg 3.24
Sc1 0.0000 0.0000 0.0000  4 Mg 3.24, 4 Pa 3.24
Mg1 0.2500 0.2500 0.2500  4 Gd 3.24, 4 Sc 3.24
Pa1 0.7500 0.7500 0.7500  4 Gd 3.24, 4 Sc 3.24

Record 3
Here is SmGdMgPa after structural relaxation from Alexandria via LeMat-Bulk. Energies are from PBE.

- total moment (μB/f.u.) = 9.07
- SG = No. 216
- E_form (eV/atom) = 0.333
- V (Å³/cell) = 114
- crystal system = cubic

Cell lengths 5.4450, 5.4450, 5.4450 Å; angles 60.00, 60.00, 60.00 degrees
Closest atoms and distances in Å follow each position.
Fractional coordinates of all 4 atoms:
Gd1 0.7500 0.7500 0.7500  4 Mg 3.33, 4 Pa 3.33
Mg1 0.0000 0.0000 0.0000  4 Sm 3.33, 4 Gd 3.33
Pa1 0.5000 0.5000 0.5000  4 Gd 3.33, 4 Sm 3.33
Sm1 0.2500 0.2500 0.2500  4 Pa 3.33, 4 Mg 3.33

Record 4
Here is TbGdMgPa after structural relaxation from Alexandria via LeMat-Bulk. Energies are from PBE.

- total moment (μB/f.u.) = 9.54
- SG = No. 216
- E_form (eV/atom) = 0.331
- V (Å³/cell) = 113
- crystal system = cubic

Cell lengths 5.4295, 5.4295, 5.4295 Å; angles 60.00, 60.00, 60.00 degrees
Closest atoms and distances in Å follow each position.
Fractional coordinates of all 4 atoms:
Gd1 0.7500 0.7500 0.7500  4 Mg 3.32, 4 Pa 3.32
Mg1 0.0000 0.0000 0.0000  4 Gd 3.32, 4 Tb 3.32
Pa1 0.5000 0.5000 0.5000  4 Tb 3.32, 4 Gd 3.32
Tb1 0.2500 0.2500 0.2500  4 Mg 3.32, 4 Pa 3.32

Record 5
Here is GdMgPaTc after structural relaxation from Alexandria via LeMat-Bulk. Energies are from PBE.

- total moment (μB/f.u.) = 6.88
- SG = No. 216
- E_form (eV/atom) = 0.133
- V (Å³/cell) = 90
- crystal system = cubic

Cell lengths 5.0348, 5.0348, 5.0348 Å; angles 60.00, 60.00, 60.00 degrees
Closest atoms and distances in Å follow each position.
Fractional coordinates of all 4 atoms:
Gd1 0.2500 0.2500 0.2500  4 Tc 3.08, 4 Mg 3.08
Mg1 0.5000 0.5000 0.5000  4 Gd 3.08, 4 Pa 3.08
Pa1 0.7500 0.7500 0.7500  4 Tc 3.08, 4 Mg 3.08
Tc1 0.0000 0.0000 0.0000  4 Pa 3.08, 4 Gd 3.08

Record 6
Here is GdThMgPa after structural relaxation from Alexandria via LeMat-Bulk. Energies are from PBE.

- total moment (μB/f.u.) = 8.02
- SG = No. 216
- E_form (eV/atom) = 0.293
- V (Å³/cell) = 113
- crystal system = cubic

Cell lengths 5.4237, 5.4237, 5.4237 Å; angles 60.00, 60.00, 60.00 degrees
Closest atoms and distances in Å follow each position.
Fractional coordinates of all 4 atoms:
Gd1 0.0000 0.0000 0.0000  4 Mg 3.32, 4 Pa 3.32
Mg1 0.7500 0.7500 0.7500  4 Gd 3.32, 4 Th 3.32
Pa1 0.2500 0.2500 0.2500  4 Gd 3.32, 4 Th 3.32
Th1 0.5000 0.5000 0.5000  4 Pa 3.32, 4 Mg 3.32

Record 7
Here is GdTmMgPa after structural relaxation from Alexandria via LeMat-Bulk. Energies are from PBE.

- total moment (μB/f.u.) = 9.82
- SG = No. 216
- E_form (eV/atom) = 0.332
- V (Å³/cell) = 112
- crystal system = cubic

Cell lengths 5.4071, 5.4071, 5.4071 Å; angles 60.00, 60.00, 60.00 degrees
Closest atoms and distances in Å follow each position.
Fractional coordinates of all 4 atoms:
Gd1 0.2500 0.2500 0.2500  4 Pa 3.31, 4 Mg 3.31
Mg1 0.0000 0.0000 0.0000  4 Gd 3.31, 4 Tm 3.31
Pa1 0.5000 0.5000 0.5000  4 Tm 3.31, 4 Gd 3.31
Tm1 0.7500 0.7500 0.7500  4 Pa 3.31, 4 Mg 3.31

Record 8
Here is GdYMgPa after structural relaxation from Alexandria via LeMat-Bulk. Energies are from PBE.

- total moment (μB/f.u.) = 9.92
- SG = No. 216
- E_form (eV/atom) = 0.333
- V (Å³/cell) = 114
- crystal system = cubic

Cell lengths 5.4452, 5.4452, 5.4452 Å; angles 60.00, 60.00, 60.00 degrees
Closest atoms and distances in Å follow each position.
Fractional coordinates of all 4 atoms:
Gd1 0.2500 0.2500 0.2500  4 Pa 3.33, 4 Mg 3.33
Y1 0.7500 0.7500 0.7500  4 Pa 3.33, 4 Mg 3.33
Mg1 0.5000 0.5000 0.5000  4 Gd 3.33, 4 Y 3.33
Pa1 0.0000 0.0000 0.0000  4 Gd 3.33, 4 Y 3.33